Record 1
This record from the Alexandria database describes an optimized crystal structure of CdBW. The functional is PBE-GGA.

Structure (POSCAR):
```
CdBW
1.0
3.103 0.000 0.000
0.000 18.146 0.000
0.000 0.000 3.046
Cd B W
4 4 4
direct
0.000 0.185 0.250 Cd
0.000 0.815 0.750 Cd
0.500 0.315 0.750 Cd
0.500 0.685 0.250 Cd
0.000 0.028 0.250 B
0.000 0.972 0.750 B
0.500 0.472 0.750 B
0.500 0.528 0.250 B
0.000 0.432 0.250 W
0.000 0.568 0.750 W
0.500 0.068 0.750 W
0.500 0.932 0.250 W
```

## Properties
total magnetization = 0.000 μB per formula unit
energy relative to the lowest polymorph listed for this composition = 0.000 eV per atom
energy of formation from the pure elements = 0.0 eV/f.u.
crystal system = orthorhombic
space group = No. 63

Record 2
This record from the Alexandria database describes an optimized crystal structure of Ti6CuNi8. The functional is PBE-GGA.

Structure (POSCAR):
```
Ti6CuNi8
1.0
3.612 2.085 4.498
-3.612 2.085 4.498
0.000 -4.170 4.498
Ti Cu Ni
6 1 8
direct
0.162 0.411 0.639 Ti
0.361 0.838 0.589 Ti
0.411 0.639 0.162 Ti
0.589 0.361 0.838 Ti
0.639 0.162 0.411 Ti
0.838 0.589 0.361 Ti
0.000 0.000 0.000 Cu
0.062 0.853 0.390 Ni
0.147 0.610 0.938 Ni
0.249 0.249 0.249 Ni
0.390 0.062 0.853 Ni
0.610 0.938 0.147 Ni
0.751 0.751 0.751 Ni
0.853 0.390 0.062 Ni
0.938 0.147 0.610 Ni
```

## Properties
total magnetization = 0.000 μB per formula unit
energy of formation from the pure elements = -2.9 eV/f.u.
crystal system = trigonal
space group = No. 148

Record 3
This record from the Alexandria database describes an optimized crystal structure of Na3AgAu8. The functional is PBE-GGA.

Structure (POSCAR):
```
Na3AgAu8
1.0
2.783 1.607 9.166
-2.783 1.607 9.166
0.000 -3.214 9.166
Na Ag Au
3 1 8
direct
0.000 0.000 0.000 Na
0.127 0.127 0.127 Na
0.505 0.505 0.505 Na
0.629 0.629 0.629 Ag
0.063 0.565 0.565 Au
0.065 0.065 0.566 Au
0.065 0.566 0.065 Au
0.315 0.315 0.315 Au
0.565 0.063 0.565 Au
0.565 0.565 0.063 Au
0.566 0.065 0.065 Au
0.815 0.815 0.815 Au
```

## Properties
total magnetization = 0.000 μB per formula unit
energy of formation from the pure elements = -3.3 eV/f.u.
crystal system = trigonal
space group = No. 160